*1*
{"formula": "Sc2SiSb", "functional": "GGA-PBE", "state": "optimized geometry", "cell": [[10.462, 0.000, 0.000], [0.000, 4.037, 0.000], [-0.104, 0.000, 3.972]], "species": ["Sc", "Sc", "Sc", "Sc", "Si", "Si", "Sb", "Sb"], "fractional_positions": [[0.000, 0.000, 0.000], [0.233, 0.500, 0.500], [0.500, 0.500, 0.000], [0.733, 0.000, 0.500], [0.258, 0.000, 0.002], [0.758, 0.500, 0.002], [0.455, 0.000, 0.497], [0.955, 0.500, 0.497]], "spacegroup": "Cm (8)"}


*2*
{"formula": "Sc2SiSb", "functional": "GGA-PBE", "state": "optimized geometry", "cell": [[4.034, 0.000, 0.000], [0.000, 4.034, 0.000], [0.000, 0.000, 5.677]], "species": ["Sc", "Sc", "Si", "Sb"], "fractional_positions": [[0.000, 0.000, 0.000], [0.500, 0.500, 0.500], [0.000, 0.000, 0.500], [0.500, 0.500, 0.000]], "spacegroup": "P4/mmm (123)"}


*3*
{"formula": "Sc2SiSb", "functional": "GGA-PBE", "state": "optimized geometry", "cell": [[6.971, 0.000, 0.000], [0.000, 6.971, 0.000], [0.000, 0.000, 6.971]], "species": ["Sc", "Sc", "Sc", "Sc", "Sc", "Sc", "Sc", "Sc", "Si", "Si", "Si", "Si", "Sb", "Sb", "Sb", "Sb"], "fractional_positions": [[0.250, 0.250, 0.250], [0.250, 0.250, 0.750], [0.250, 0.750, 0.250], [0.250, 0.750, 0.750], [0.750, 0.250, 0.250], [0.750, 0.250, 0.750], [0.750, 0.750, 0.250], [0.750, 0.750, 0.750], [0.000, 0.000, 0.000], [0.000, 0.500, 0.500], [0.500, 0.000, 0.500], [0.500, 0.500, 0.000], [0.000, 0.000, 0.500], [0.000, 0.500, 0.000], [0.500, 0.000, 0.000], [0.500, 0.500, 0.500]], "spacegroup": "Fm-3m (225)"}


*4*
{"formula": "Sc2SiSb", "functional": "GGA-PBE", "state": "optimized geometry", "cell": [[3.849, 0.000, 0.000], [-1.925, 3.333, 0.000], [0.000, 0.000, 25.783]], "species": ["Sc", "Sc", "Sc", "Sc", "Sc", "Sc", "Si", "Si", "Si", "Sb", "Sb", "Sb"], "fractional_positions": [[0.000, 0.000, 0.112], [0.000, 0.000, 0.888], [0.333, 0.667, 0.555], [0.333, 0.667, 0.779], [0.667, 0.333, 0.221], [0.667, 0.333, 0.445], [0.000, 0.000, 0.500], [0.333, 0.667, 0.167], [0.667, 0.333, 0.833], [0.000, 0.000, 0.000], [0.333, 0.667, 0.667], [0.667, 0.333, 0.333]], "spacegroup": "R-3m (166)"}


It turns out *1* is the most stable, with the second structure 98 meV per atom higher.


*1*
{"formula": "Sc2SiSb", "functional": "GGA-PBE", "state": "optimized geometry", "cell": [[6.562, 0.000, 0.000], [0.000, 7.792, 0.000], [-0.778, 0.000, 3.314]], "species": ["Sc", "Sc", "Sc", "Sc", "Si", "Si", "Sb", "Sb"], "fractional_positions": [[0.250, 0.250, 0.000], [0.250, 0.750, 0.000], [0.750, 0.250, 0.000], [0.750, 0.750, 0.000], [0.000, 0.000, 0.500], [0.500, 0.500, 0.500], [0.000, 0.500, 0.500], [0.500, 0.000, 0.500]], "spacegroup": "C2/m (12)"}


*2*
{"formula": "Sc2SiSb", "functional": "GGA-PBE", "state": "optimized geometry", "cell": [[3.869, 0.000, 0.000], [-1.935, 3.351, 0.000], [0.000, 0.000, 26.555]], "species": ["Sc", "Sc", "Sc", "Sc", "Sc", "Sc", "Si", "Si", "Si", "Sb", "Sb", "Sb"], "fractional_positions": [[0.000, 0.000, 0.100], [0.000, 0.000, 0.900], [0.333, 0.667, 0.567], [0.333, 0.667, 0.766], [0.667, 0.333, 0.234], [0.667, 0.333, 0.433], [0.000, 0.000, 0.000], [0.333, 0.667, 0.667], [0.667, 0.333, 0.333], [0.000, 0.000, 0.500], [0.333, 0.667, 0.167], [0.667, 0.333, 0.833]], "spacegroup": "R-3m (166)"}


*3*
{"formula": "Sc2SiSb", "functional": "GGA-PBE", "state": "optimized geometry", "cell": [[7.532, 0.000, 0.000], [0.000, 7.532, 0.000], [0.000, 0.000, 6.321]], "species": ["Sc", "Sc", "Sc", "Sc", "Sc", "Sc", "Sc", "Sc", "Si", "Si", "Si", "Si", "Sb", "Sb", "Sb", "Sb"], "fractional_positions": [[0.225, 0.250, 0.125], [0.250, 0.725, 0.375], [0.250, 0.775, 0.875], [0.275, 0.250, 0.625], [0.725, 0.750, 0.625], [0.750, 0.225, 0.875], [0.750, 0.275, 0.375], [0.775, 0.750, 0.125], [0.000, 0.000, 0.000], [0.000, 0.500, 0.250], [0.500, 0.000, 0.750], [0.500, 0.500, 0.500], [0.000, 0.000, 0.500], [0.000, 0.500, 0.750], [0.500, 0.000, 0.250], [0.500, 0.500, 0.000]], "spacegroup": "I-42d (122)"}


It turns out *1* is the most stable, with the second structure 62 meV per atom higher.


*1*
{"formula": "Sc2SiSb", "functional": "GGA-PBE", "state": "optimized geometry", "cell": [[3.216, 0.000, 0.000], [0.000, 3.216, 0.000], [0.000, 0.000, 7.993]], "species": ["Sc", "Sc", "Si", "Sb"], "fractional_positions": [[0.000, 0.000, 0.218], [0.000, 0.000, 0.782], [0.500, 0.500, 0.000], [0.500, 0.500, 0.500]], "spacegroup": "P4/mmm (123)"}


*2*
{"formula": "Sc2SiSb", "functional": "GGA-PBE", "state": "optimized geometry", "cell": [[4.147, 0.000, 0.000], [0.000, 5.205, 0.000], [0.000, 0.000, 7.822]], "species": ["Sc", "Sc", "Sc", "Sc", "Si", "Si", "Sb", "Sb"], "fractional_positions": [[0.000, 0.000, 0.226], [0.000, 0.000, 0.774], [0.500, 0.500, 0.226], [0.500, 0.500, 0.774], [0.000, 0.500, 0.000], [0.500, 0.000, 0.000], [0.000, 0.500, 0.500], [0.500, 0.000, 0.500]], "spacegroup": "Cmmm (65)"}


*3*
{"formula": "Sc2SiSb", "functional": "GGA-PBE", "state": "optimized geometry", "cell": [[3.852, 0.000, 0.000], [-1.926, 3.336, 0.000], [0.000, 0.000, 21.209]], "species": ["Sc", "Sc", "Sc", "Sc", "Sc", "Sc", "Si", "Si", "Si", "Sb", "Sb", "Sb"], "fractional_positions": [[0.000, 0.000, 0.241], [0.000, 0.000, 0.759], [0.333, 0.667, 0.426], [0.333, 0.667, 0.908], [0.667, 0.333, 0.092], [0.667, 0.333, 0.574], [0.000, 0.000, 0.500], [0.333, 0.667, 0.167], [0.667, 0.333, 0.833], [0.000, 0.000, 0.000], [0.333, 0.667, 0.667], [0.667, 0.333, 0.333]], "spacegroup": "R-3m (166)"}


It turns out *3* is the most stable, with the second structure 87 meV per atom higher.


*1*
{"formula": "ScSiSb", "functional": "GGA-PBE", "state": "optimized geometry", "cell": [[6.791, 0.000, 0.000], [0.000, 6.791, 0.000], [0.000, 0.000, 6.791]], "species": ["Sc", "Sc", "Sc", "Sc", "Si", "Si", "Si", "Si", "Sb", "Sb", "Sb", "Sb"], "fractional_positions": [[0.000, 0.000, 0.000], [0.000, 0.500, 0.500], [0.500, 0.000, 0.500], [0.500, 0.500, 0.000], [0.000, 0.000, 0.500], [0.000, 0.500, 0.000], [0.500, 0.000, 0.000], [0.500, 0.500, 0.500], [0.250, 0.250, 0.250], [0.250, 0.750, 0.750], [0.750, 0.250, 0.750], [0.750, 0.750, 0.250]], "spacegroup": "F-43m (216)"}


*2*
{"formula": "ScSiSb", "functional": "GGA-PBE", "state": "optimized geometry", "cell": [[6.828, 0.000, 0.000], [0.000, 3.943, 0.000], [-2.271, 0.000, 9.774]], "species": ["Sc", "Sc", "Sc", "Sc", "Si", "Si", "Si", "Si", "Sb", "Sb", "Sb", "Sb"], "fractional_positions": [[0.000, 0.000, 0.000], [0.118, 0.000, 0.353], [0.500, 0.500, 0.000], [0.618, 0.500, 0.353], [0.227, 0.500, 0.182], [0.390, 0.000, 0.170], [0.727, 0.000, 0.182], [0.890, 0.500, 0.170], [0.025, 0.500, 0.572], [0.262, 0.000, 0.783], [0.525, 0.000, 0.572], [0.762, 0.500, 0.783]], "spacegroup": "Cm (8)"}


It turns out *2* is the most stable, with the second structure 529 meV per atom higher.


*1*
{"formula": "ScSiSb", "functional": "GGA-PBE", "state": "optimized geometry", "cell": [[3.730, 0.000, 0.000], [-0.002, 3.851, 0.000], [-1.856, -0.042, 8.772]], "species": ["Sc", "Sc", "Si", "Si", "Sb", "Sb"], "fractional_positions": [[0.089, 0.251, 0.179], [0.911, 0.749, 0.821], [0.464, 0.249, 0.925], [0.536, 0.751, 0.075], [0.312, 0.249, 0.625], [0.688, 0.751, 0.375]], "spacegroup": "P-1 (2)"}


*2*
{"formula": "ScSiSb", "functional": "GGA-PBE", "state": "optimized geometry", "cell": [[3.639, 0.000, 0.000], [0.000, 3.639, 0.000], [0.000, 0.000, 9.250]], "species": ["Sc", "Sc", "Si", "Si", "Sb", "Sb"], "fractional_positions": [[0.000, 0.000, 0.000], [0.500, 0.500, 0.500], [0.000, 0.000, 0.643], [0.500, 0.500, 0.143], [0.000, 0.000, 0.327], [0.500, 0.500, 0.827]], "spacegroup": "I4mm (107)"}


It turns out *1* is the most stable, with the second structure 197 meV per atom higher.


*1*
{"formula": "ScSiSb", "functional": "GGA-PBE", "state": "optimized geometry", "cell": [[6.660, 0.000, 0.000], [0.000, 6.660, 0.000], [0.000, 0.000, 6.660]], "species": ["Sc", "Sc", "Sc", "Sc", "Si", "Si", "Si", "Si", "Sb", "Sb", "Sb", "Sb"], "fractional_positions": [[0.000, 0.000, 0.000], [0.000, 0.500, 0.500], [0.500, 0.000, 0.500], [0.500, 0.500, 0.000], [0.250, 0.250, 0.250], [0.250, 0.750, 0.750], [0.750, 0.250, 0.750], [0.750, 0.750, 0.250], [0.250, 0.250, 0.750], [0.250, 0.750, 0.250], [0.750, 0.250, 0.250], [0.750, 0.750, 0.750]], "spacegroup": "F-43m (216)"}


*2*
{"formula": "ScSiSb", "functional": "GGA-PBE", "state": "optimized geometry", "cell": [[3.291, 0.000, 0.000], [-1.645, 2.850, 0.000], [0.000, 0.000, 6.808]], "species": ["Sc", "Si", "Sb"], "fractional_positions": [[0.000, 0.000, 0.000], [0.667, 0.333, 0.303], [0.333, 0.667, 0.646]], "spacegroup": "P3m1 (156)"}


It turns out *2* is the most stable, with the second structure 9 meV per atom higher.


*1*
{"formula": "Sc4SiSb", "functional": "GGA-PBE", "state": "optimized geometry", "cell": [[5.408, 0.000, 0.000], [0.000, 6.072, 0.000], [-1.143, 0.000, 7.887]], "species": ["Sc", "Sc", "Sc", "Sc", "Sc", "Sc", "Sc", "Sc", "Si", "Si", "Sb", "Sb"], "fractional_positions": [[0.152, 0.250, 0.047], [0.180, 0.750, 0.350], [0.333, 0.507, 0.742], [0.333, 0.993, 0.742], [0.667, 0.007, 0.258], [0.667, 0.493, 0.258], [0.820, 0.250, 0.650], [0.848, 0.750, 0.953], [0.347, 0.750, 0.039], [0.653, 0.250, 0.961], [0.234, 0.250, 0.417], [0.766, 0.750, 0.583]], "spacegroup": "P2_1/m (11)"}


*2*
{"formula": "Sc4SiSb", "functional": "GGA-PBE", "state": "optimized geometry", "cell": [[0.000, 4.047, 4.047], [4.047, 0.000, 4.047], [4.047, 4.047, 0.000]], "species": ["Sc", "Sc", "Sc", "Sc", "Si", "Sb"], "fractional_positions": [[0.125, 0.125, 0.125], [0.125, 0.125, 0.626], [0.125, 0.626, 0.125], [0.626, 0.125, 0.125], [0.750, 0.750, 0.750], [0.500, 0.500, 0.500]], "spacegroup": "F-43m (216)"}


It turns out *1* is the most stable, with the second structure 725 meV per atom higher.


*1*
{"formula": "SmSc2Sb", "functional": "GGA-PBE", "state": "optimized geometry", "cell": [[4.061, 0.000, 0.000], [0.000, 11.832, 0.000], [0.000, 0.000, 8.873]], "species": ["Sm", "Sm", "Sm", "Sm", "Sc", "Sc", "Sc", "Sc", "Sc", "Sc", "Sc", "Sc", "Sb", "Sb", "Sb", "Sb"], "fractional_positions": [[0.000, 0.052, 0.250], [0.000, 0.948, 0.750], [0.500, 0.448, 0.750], [0.500, 0.552, 0.250], [0.000, 0.363, 0.045], [0.000, 0.363, 0.455], [0.000, 0.637, 0.545], [0.000, 0.637, 0.955], [0.500, 0.137, 0.545], [0.500, 0.137, 0.955], [0.500, 0.863, 0.045], [0.500, 0.863, 0.455], [0.000, 0.236, 0.750], [0.000, 0.764, 0.250], [0.500, 0.264, 0.250], [0.500, 0.736, 0.750]], "spacegroup": "Cmcm (63)"}


*2*
{"formula": "SmSc2Sb", "functional": "GGA-PBE", "state": "optimized geometry", "cell": [[4.665, 0.000, 0.000], [0.000, 4.665, 0.000], [0.000, 0.000, 4.533]], "species": ["Sm", "Sc", "Sc", "Sb"], "fractional_positions": [[0.000, 0.000, 0.000], [0.000, 0.500, 0.500], [0.500, 0.000, 0.500], [0.500, 0.500, 0.000]], "spacegroup": "P4/mmm (123)"}


*3*
{"formula": "SmSc2Sb", "functional": "GGA-PBE", "state": "optimized geometry", "cell": [[3.735, 0.000, 0.000], [-1.868, 3.235, 0.000], [0.000, 0.000, 30.395]], "species": ["Sm", "Sm", "Sm", "Sc", "Sc", "Sc", "Sc", "Sc", "Sc", "Sb", "Sb", "Sb"], "fractional_positions": [[0.000, 0.000, 0.000], [0.333, 0.667, 0.667], [0.667, 0.333, 0.333], [0.000, 0.000, 0.106], [0.000, 0.000, 0.894], [0.333, 0.667, 0.561], [0.333, 0.667, 0.772], [0.667, 0.333, 0.228], [0.667, 0.333, 0.439], [0.000, 0.000, 0.500], [0.333, 0.667, 0.167], [0.667, 0.333, 0.833]], "spacegroup": "R-3m (166)"}


It turns out *1* is the most stable, with the second structure 88 meV per atom higher.


*1*
{"formula": "SmScSb2", "functional": "GGA-PBE", "state": "optimized geometry", "cell": [[4.326, 0.000, 0.000], [-2.163, 3.747, 0.000], [0.000, 0.000, 21.095]], "species": ["Sm", "Sm", "Sm", "Sc", "Sc", "Sc", "Sb", "Sb", "Sb", "Sb", "Sb", "Sb"], "fractional_positions": [[0.000, 0.000, 0.000], [0.333, 0.667, 0.667], [0.667, 0.333, 0.333], [0.000, 0.000, 0.500], [0.333, 0.667, 0.167], [0.667, 0.333, 0.833], [0.000, 0.000, 0.243], [0.000, 0.000, 0.757], [0.333, 0.667, 0.424], [0.333, 0.667, 0.910], [0.667, 0.333, 0.090], [0.667, 0.333, 0.576]], "spacegroup": "R-3m (166)"}


*2*
{"formula": "SmScSb2", "functional": "GGA-PBE", "state": "optimized geometry", "cell": [[4.296, 0.000, 0.000], [-2.148, 3.720, 0.000], [0.000, 0.000, 7.340]], "species": ["Sm", "Sc", "Sb", "Sb"], "fractional_positions": [[0.000, 0.000, 0.000], [0.000, 0.000, 0.500], [0.333, 0.667, 0.729], [0.667, 0.333, 0.271]], "spacegroup": "P-3m1 (164)"}


*3*
{"formula": "SmScSb2", "functional": "GGA-PBE", "state": "optimized geometry", "cell": [[4.293, 0.000, 0.000], [-2.146, 3.718, 0.000], [0.000, 0.000, 21.790]], "species": ["Sm", "Sm", "Sm", "Sc", "Sc", "Sc", "Sb", "Sb", "Sb", "Sb", "Sb", "Sb"], "fractional_positions": [[0.000, 0.000, 0.000], [0.333, 0.667, 0.667], [0.667, 0.333, 0.333], [0.000, 0.000, 0.829], [0.333, 0.667, 0.496], [0.667, 0.333, 0.162], [0.000, 0.000, 0.240], [0.000, 0.000, 0.423], [0.333, 0.667, 0.089], [0.333, 0.667, 0.907], [0.667, 0.333, 0.573], [0.667, 0.333, 0.756]], "spacegroup": "R3m (160)"}


It turns out *1* is the most stable, with the second structure 56 meV per atom higher.


*1*
{"formula": "Sm3ScSb2", "functional": "GGA-PBE", "state": "optimized geometry", "cell": [[4.482, 0.000, 0.000], [0.000, 4.482, 0.000], [0.000, 0.000, 8.559]], "species": ["Sm", "Sm", "Sm", "Sc", "Sb", "Sb"], "fractional_positions": [[0.000, 0.000, 0.000], [0.000, 0.500, 0.649], [0.500, 0.000, 0.351], [0.500, 0.500, 0.000], [0.000, 0.500, 0.272], [0.500, 0.000, 0.728]], "spacegroup": "P-4m2 (115)"}


*2*
{"formula": "Sm3ScSb2", "functional": "GGA-PBE", "state": "optimized geometry", "cell": [[-3.545, 6.984, 3.964], [3.545, -6.984, 3.964], [3.545, 6.984, -3.964]], "species": ["Sm", "Sm", "Sm", "Sm", "Sm", "Sm", "Sc", "Sc", "Sb", "Sb", "Sb", "Sb"], "fractional_positions": [[0.044, 0.750, 0.294], [0.250, 0.250, 0.000], [0.456, 0.750, 0.706], [0.544, 0.250, 0.294], [0.750, 0.750, 0.000], [0.956, 0.250, 0.706], [0.000, 0.500, 0.500], [0.500, 0.000, 0.500], [0.143, 0.186, 0.329], [0.357, 0.686, 0.043], [0.643, 0.314, 0.957], [0.857, 0.814, 0.671]], "spacegroup": "Ibam (72)"}


It turns out *1* is the most stable, with the second structure 257 meV per atom higher.


*1*
{"formula": "Sc2SnSb2", "functional": "GGA-PBE", "state": "optimized geometry", "cell": [[8.131, 0.000, 0.000], [0.000, 8.131, 0.000], [0.000, 0.000, 3.852]], "species": ["Sc", "Sc", "Sc", "Sc", "Sn", "Sn", "Sb", "Sb", "Sb", "Sb"], "fractional_positions": [[0.145, 0.355, 0.000], [0.355, 0.855, 0.000], [0.645, 0.145, 0.000], [0.855, 0.645, 0.000], [0.000, 0.000, 0.500], [0.500, 0.500, 0.500], [0.151, 0.651, 0.500], [0.349, 0.151, 0.500], [0.651, 0.849, 0.500], [0.849, 0.349, 0.500]], "spacegroup": "P4/mbm (127)"}


*2*
{"formula": "Sc2SnSb2", "functional": "GGA-PBE", "state": "optimized geometry", "cell": [[7.851, 0.000, 0.000], [0.000, 7.851, 0.000], [0.000, 0.000, 3.982]], "species": ["Sc", "Sc", "Sc", "Sc", "Sn", "Sn", "Sb", "Sb", "Sb", "Sb"], "fractional_positions": [[0.149, 0.351, 0.000], [0.351, 0.851, 0.000], [0.649, 0.149, 0.000], [0.851, 0.649, 0.000], [0.000, 0.000, 0.000], [0.500, 0.500, 0.000], [0.158, 0.658, 0.500], [0.342, 0.158, 0.500], [0.658, 0.842, 0.500], [0.842, 0.342, 0.500]], "spacegroup": "P4/mbm (127)"}


It turns out *2* is the most stable, with the second structure 47 meV per atom higher.